(1)
Entry from Alexandria: a relaxed structure of Ca2ScOs (GGA-PBE).

Results
Energy of formation in eV per atom: 0.407

The structure in CIF format:
```
data_Ca2ScOs
_chemical_formula_sum 'Ca8 Sc4 Os4'
_symmetry_space_group_name_H-M 'I -4 2 d'
_symmetry_Int_Tables_number 122
_symmetry_space_group_name_Hall 'I -4 2bw'
_cell_length_a 10.340
_cell_length_b 10.340
_cell_length_c 4.977
_cell_angle_alpha 90.00
_cell_angle_beta 90.00
_cell_angle_gamma 90.00
loop_
_atom_site_label
_atom_site_type_symbol
_atom_site_fract_x
_atom_site_fract_y
_atom_site_fract_z
_atom_site_occupancy
Ca1 Ca 0.107 0.250 0.125 1
Sc1 Sc 0.000 0.000 0.500 1
Os1 Os 0.000 0.000 0.000 1
```

(2)
Entry from Alexandria: a relaxed structure of Pm7Sm4Dy (GGA-PBE).

Results
Energy of formation in eV per atom: 0.215

The structure in CIF format:
```
data_Pm7Sm4Dy
_chemical_formula_sum 'Pm14 Sm8 Dy2'
_symmetry_space_group_name_H-M 'C 1 2/m 1'
_symmetry_Int_Tables_number 12
_symmetry_space_group_name_Hall '-C 2y'
_cell_length_a 16.326
_cell_length_b 6.036
_cell_length_c 9.385
_cell_angle_alpha 90.00
_cell_angle_beta 116.03
_cell_angle_gamma 90.00
loop_
_atom_site_label
_atom_site_type_symbol
_atom_site_fract_x
_atom_site_fract_y
_atom_site_fract_z
_atom_site_occupancy
Pm1 Pm 0.000 0.000 0.000 1
Pm2 Pm 0.081 0.500 0.438 1
Pm3 Pm 0.208 0.500 0.226 1
Pm4 Pm 0.210 0.500 0.877 1
Sm1 Sm 0.074 0.000 0.700 1
Sm2 Sm 0.173 0.000 0.389 1
Dy1 Dy 0.000 0.500 0.000 1
```

(3)
Entry from Alexandria: a relaxed structure of ZrInCl2 (GGA-PBE).

Results
Formation energy without anion corrections in kJ/mol of atoms: -72.7

The structure in CIF format:
```
data_ZrInCl2
_chemical_formula_sum 'Zr2 In2 Cl4'
_symmetry_space_group_name_H-M 'C m m 2'
_symmetry_Int_Tables_number 35
_symmetry_space_group_name_Hall 'C 2 -2'
_cell_length_a 3.434
_cell_length_b 6.059
_cell_length_c 9.999
_cell_angle_alpha 90.00
_cell_angle_beta 90.00
_cell_angle_gamma 90.00
loop_
_atom_site_label
_atom_site_type_symbol
_atom_site_fract_x
_atom_site_fract_y
_atom_site_fract_z
_atom_site_occupancy
Zr1 Zr 0.000 0.000 0.000 1
In1 In 0.000 0.500 0.753 1
Cl1 Cl 0.000 0.000 0.557 1
Cl2 Cl 0.000 0.500 0.191 1
```

(4)
Entry from Alexandria: a relaxed structure of Er2InCuS5 (GGA-PBE).

Results
Formation energy without anion corrections in kJ/mol of atoms: -121.4

The structure in CIF format:
```
data_Er2InCuS5
_chemical_formula_sum 'Er8 In4 Cu4 S20'
_symmetry_space_group_name_H-M 'C m c 21'
_symmetry_Int_Tables_number 36
_symmetry_space_group_name_Hall 'C 2c -2'
_cell_length_a 3.799
_cell_length_b 16.148
_cell_length_c 11.473
_cell_angle_alpha 90.00
_cell_angle_beta 90.00
_cell_angle_gamma 90.00
loop_
_atom_site_label
_atom_site_type_symbol
_atom_site_fract_x
_atom_site_fract_y
_atom_site_fract_z
_atom_site_occupancy
Er1 Er 0.000 0.112 0.000 1
Er2 Er 0.000 0.120 0.614 1
In1 In 0.000 0.191 0.315 1
Cu1 Cu 0.000 0.500 0.301 1
S1 S 0.000 0.043 0.387 1
S2 S 0.000 0.289 0.981 1
S3 S 0.000 0.299 0.655 1
S4 S 0.000 0.354 0.316 1
S5 S 0.000 0.495 0.604 1
```

(5)
Entry from Alexandria: a relaxed structure of Sr3Ir (GGA-PBE).

Results
Energy of formation in eV per atom: -0.110

The structure in CIF format:
```
data_Sr3Ir
_chemical_formula_sum 'Sr24 Ir8'
_symmetry_space_group_name_H-M 'P 42/n'
_symmetry_Int_Tables_number 86
_cell_length_a 12.836
_cell_length_b 12.836
_cell_length_c 6.715
_cell_angle_alpha 90.00
_cell_angle_beta 90.00
_cell_angle_gamma 90.00
loop_
_symmetry_equiv_pos_as_xyz
'x,y,z'
'-x,-y,-z'
'-y,x+1/2,z+1/2'
'y,-x+1/2,-z+1/2'
'-x+1/2,-y+1/2,z'
'x+1/2,y+1/2,-z'
'y+1/2,-x,z+1/2'
'-y+1/2,x,-z+1/2'
loop_
_atom_site_label
_atom_site_type_symbol
_atom_site_fract_x
_atom_site_fract_y
_atom_site_fract_z
_atom_site_occupancy
Sr1 Sr 0.029 0.912 0.200 1
Sr2 Sr 0.123 0.301 0.006 1
Sr3 Sr 0.123 0.832 0.697 1
Ir1 Ir 0.032 0.303 0.560 1
```

(6)
Entry from Alexandria: a relaxed structure of BaYbCdSb2 (GGA-PBE).

Results
Formation energy without anion corrections in kJ/mol of atoms: -83.9

The structure in CIF format:
```
data_BaYbCdSb2
_chemical_formula_sum 'Ba4 Yb4 Cd4 Sb8'
_symmetry_space_group_name_H-M 'C m c 21'
_symmetry_Int_Tables_number 36
_symmetry_space_group_name_Hall 'C 2c -2'
_cell_length_a 4.785
_cell_length_b 18.827
_cell_length_c 7.402
_cell_angle_alpha 90.00
_cell_angle_beta 90.00
_cell_angle_gamma 90.00
loop_
_atom_site_label
_atom_site_type_symbol
_atom_site_fract_x
_atom_site_fract_y
_atom_site_fract_z
_atom_site_occupancy
Ba1 Ba 0.000 0.197 0.000 1
Yb1 Yb 0.000 0.019 0.696 1
Cd1 Cd 0.000 0.405 0.867 1
Sb1 Sb 0.000 0.166 0.488 1
Sb2 Sb 0.000 0.441 0.475 1
```